An optimized crystal structure of SnPH5NO4F, computed with PBE-GGA.

Cell: 6.782 5.355 15.957 Å, 90.00 90.00 90.00°
Atoms (fractional coordinates):
Sn: 0.173 0.250 0.191
Sn: 0.327 0.750 0.691
Sn: 0.673 0.250 0.309
Sn: 0.827 0.750 0.809
P: 0.111 0.250 0.835
P: 0.389 0.750 0.335
P: 0.611 0.250 0.665
P: 0.889 0.750 0.165
H: 0.063 0.750 0.322
H: 0.073 0.250 0.462
H: 0.179 0.750 0.947
H: 0.224 0.092 0.528
H: 0.224 0.408 0.528
H: 0.276 0.592 0.028
H: 0.276 0.908 0.028
H: 0.321 0.250 0.447
H: 0.427 0.750 0.962
H: 0.437 0.250 0.822
H: 0.563 0.750 0.178
H: 0.573 0.250 0.038
H: 0.679 0.750 0.553
H: 0.724 0.092 0.972
H: 0.724 0.408 0.972
H: 0.776 0.592 0.472
H: 0.776 0.908 0.472
H: 0.821 0.250 0.053
H: 0.927 0.750 0.538
H: 0.937 0.250 0.678
N: 0.210 0.250 0.492
N: 0.290 0.750 0.992
N: 0.710 0.250 0.008
N: 0.790 0.750 0.508
O: 0.011 0.015 0.874
O: 0.011 0.485 0.874
O: 0.111 0.250 0.739
O: 0.169 0.750 0.368
O: 0.331 0.250 0.868
O: 0.389 0.750 0.239
O: 0.489 0.515 0.374
O: 0.489 0.985 0.374
O: 0.511 0.015 0.626
O: 0.511 0.485 0.626
O: 0.611 0.250 0.761
O: 0.669 0.750 0.132
O: 0.831 0.250 0.632
O: 0.889 0.750 0.261
O: 0.989 0.515 0.126
O: 0.989 0.985 0.126
F: 0.162 0.750 0.579
F: 0.338 0.250 0.079
F: 0.662 0.750 0.921
F: 0.838 0.250 0.421

Final energy in eV/atom: -5.71